Version 1
The following is a DFT calculation (PBE) of a relaxed CaPm3Ir crystal.

Output
The total magnetization comes out at 0.00 μB per formula unit. As for the density of states at the Fermi level: 6.40 states/eV per cell.

Geometry as CIF:
```
data_CaPm3Ir
_cell_length_a 5.624
_cell_length_b 5.624
_cell_length_c 5.624
_cell_angle_alpha 90.00
_cell_angle_beta 90.00
_cell_angle_gamma 90.00
_space_group_name_H-M_alt 'P m -3 m'
_space_group_IT_number 221
_space_group_name_Hall '-P 4 2 3'
loop_
_atom_site_label
_atom_site_type_symbol
_atom_site_fract_x
_atom_site_fract_y
_atom_site_fract_z
_atom_site_occupancy
Ca1 Ca 0.000 0.000 0.000 1
Pm1 Pm 0.000 0.500 0.500 1
Ir1 Ir 0.500 0.500 0.500 1
```

=====

Version 2
The following is a DFT calculation (PBE) of a relaxed CaPm3Ir crystal.

Output
The total magnetization comes out at 0.00 μB per formula unit. As for the density of states at the Fermi level: 24.89 states/eV per cell.

Geometry as CIF:
```
data_CaPm3Ir
_cell_length_a 14.693
_cell_length_b 3.915
_cell_length_c 11.325
_cell_angle_alpha 90.00
_cell_angle_beta 91.63
_cell_angle_gamma 90.00
_space_group_name_H-M_alt 'C 1 2/m 1'
_space_group_IT_number 12
loop_
_space_group_symop_operation_xyz
'x,y,z'
'-x,-y,-z'
'-x,y,-z'
'x,-y,z'
'x+1/2,y+1/2,z'
'-x+1/2,-y+1/2,-z'
'-x+1/2,y+1/2,-z'
'x+1/2,-y+1/2,z'
loop_
_atom_site_label
_atom_site_type_symbol
_atom_site_fract_x
_atom_site_fract_y
_atom_site_fract_z
_atom_site_occupancy
Ca1 Ca 0.165 0.000 0.089 1
Pm1 Pm 0.061 0.500 0.835 1
Pm2 Pm 0.065 0.000 0.380 1
Pm3 Pm 0.216 0.000 0.646 1
Ir1 Ir 0.084 0.500 0.582 1
```

=====

Which structure loses on stability? version 1 does.

=====

Version 1
The following is a DFT calculation (PBE) of a relaxed CaPm5Ir3 crystal.

Output
The total magnetization comes out at 0.00 μB per formula unit. As for the density of states at the Fermi level: 24.14 states/eV per cell.

Geometry as CIF:
```
data_CaPm5Ir3
_cell_length_a 15.698
_cell_length_b 6.952
_cell_length_c 9.692
_cell_angle_alpha 90.00
_cell_angle_beta 108.02
_cell_angle_gamma 90.00
_space_group_name_H-M_alt 'C 1 2/c 1'
_space_group_IT_number 15
loop_
_space_group_symop_operation_xyz
'x,y,z'
'-x,-y,-z'
'-x,y,-z+1/2'
'x,-y,z+1/2'
'x+1/2,y+1/2,z'
'-x+1/2,-y+1/2,-z'
'-x+1/2,y+1/2,-z+1/2'
'x+1/2,-y+1/2,z+1/2'
loop_
_atom_site_label
_atom_site_type_symbol
_atom_site_fract_x
_atom_site_fract_y
_atom_site_fract_z
_atom_site_occupancy
Ca1 Ca 0.000 0.223 0.250 1
Pm1 Pm 0.000 0.274 0.750 1
Pm2 Pm 0.164 0.258 0.576 1
Pm3 Pm 0.167 0.242 0.089 1
Ir1 Ir 0.000 0.500 0.000 1
Ir2 Ir 0.172 0.016 0.835 1
```

=====

Version 2
The following is a DFT calculation (PBE) of a relaxed CaPm5Ir3 crystal.

Output
The total magnetization comes out at 0.00 μB per formula unit. As for the density of states at the Fermi level: 23.19 states/eV per cell.

Geometry as CIF:
```
data_CaPm5Ir3
_cell_length_a 12.774
_cell_length_b 9.348
_cell_length_c 10.442
_cell_angle_alpha 90.00
_cell_angle_beta 113.97
_cell_angle_gamma 90.00
_space_group_name_H-M_alt 'C 1 2/m 1'
_space_group_IT_number 12
loop_
_space_group_symop_operation_xyz
'x,y,z'
'-x,-y,-z'
'-x,y,-z'
'x,-y,z'
'x+1/2,y+1/2,z'
'-x+1/2,-y+1/2,-z'
'-x+1/2,y+1/2,-z'
'x+1/2,-y+1/2,z'
loop_
_atom_site_label
_atom_site_type_symbol
_atom_site_fract_x
_atom_site_fract_y
_atom_site_fract_z
_atom_site_occupancy
Ca1 Ca 0.103 0.000 0.302 1
Pm1 Pm 0.000 0.299 0.000 1
Pm2 Pm 0.070 0.500 0.371 1
Pm3 Pm 0.163 0.197 0.668 1
Pm4 Pm 0.232 0.000 0.034 1
Ir1 Ir 0.000 0.000 0.000 1
Ir2 Ir 0.000 0.000 0.500 1
Ir3 Ir 0.161 0.500 0.670 1
Ir4 Ir 0.167 0.500 0.167 1
```

=====

Which structure loses on stability? version 2 does.

=====

Version 1
The following is a DFT calculation (PBE) of a relaxed CaPmTlIr crystal.

Output
The total magnetization comes out at 0.00 μB per formula unit. As for the density of states at the Fermi level: 2.79 states/eV per cell.

Geometry as CIF:
```
data_CaPmTlIr
_cell_length_a 3.478
_cell_length_b 3.478
_cell_length_c 8.446
_cell_angle_alpha 90.00
_cell_angle_beta 90.00
_cell_angle_gamma 90.00
_space_group_name_H-M_alt 'P 4 m m'
_space_group_IT_number 99
loop_
_space_group_symop_operation_xyz
'x,y,z'
'-y,x,z'
'-x,-y,z'
'y,-x,z'
'-x,y,z'
'y,x,z'
'x,-y,z'
'-y,-x,z'
loop_
_atom_site_label
_atom_site_type_symbol
_atom_site_fract_x
_atom_site_fract_y
_atom_site_fract_z
_atom_site_occupancy
Ca1 Ca 0.000 0.000 0.000 1
Pm1 Pm 0.000 0.000 0.592 1
Tl1 Tl 0.500 0.500 0.288 1
Ir1 Ir 0.500 0.500 0.783 1
```

=====

Version 2
The following is a DFT calculation (PBE) of a relaxed CaPmTlIr crystal.

Output
The total magnetization comes out at 0.00 μB per formula unit. As for the density of states at the Fermi level: 10.51 states/eV per cell.

Geometry as CIF:
```
data_CaPmTlIr
_cell_length_a 7.304
_cell_length_b 7.304
_cell_length_c 7.304
_cell_angle_alpha 90.00
_cell_angle_beta 90.00
_cell_angle_gamma 90.00
_space_group_name_H-M_alt 'F -4 3 m'
_space_group_IT_number 216
_space_group_name_Hall 'F -4 2 3'
loop_
_atom_site_label
_atom_site_type_symbol
_atom_site_fract_x
_atom_site_fract_y
_atom_site_fract_z
_atom_site_occupancy
Ca1 Ca 0.000 0.000 0.000 1
Pm1 Pm 0.000 0.000 0.500 1
Tl1 Tl 0.250 0.250 0.250 1
Ir1 Ir 0.250 0.250 0.750 1
```

=====

Which structure loses on stability? version 2 does.

=====

Version 1
The following is a DFT calculation (PBE) of a relaxed CaPr3Ir crystal.

Output
The total magnetization comes out at 0.00 μB per formula unit. As for the density of states at the Fermi level: 12.31 states/eV per cell.

Geometry as CIF:
```
data_CaPr3Ir
_cell_length_a 9.038
_cell_length_b 3.933
_cell_length_c 9.396
_cell_angle_alpha 90.00
_cell_angle_beta 97.90
_cell_angle_gamma 90.00
_space_group_name_H-M_alt 'P 1 21/m 1'
_space_group_IT_number 11
loop_
_space_group_symop_operation_xyz
'x,y,z'
'-x,-y,-z'
'-x,y+1/2,-z'
'x,-y+1/2,z'
loop_
_atom_site_label
_atom_site_type_symbol
_atom_site_fract_x
_atom_site_fract_y
_atom_site_fract_z
_atom_site_occupancy
Ca1 Ca 0.005 0.250 0.178 1
Pr1 Pr 0.184 0.250 0.557 1
Pr2 Pr 0.335 0.250 0.967 1
Pr3 Pr 0.419 0.750 0.326 1
Ir1 Ir 0.351 0.750 0.739 1
```

=====

Version 2
The following is a DFT calculation (PBE) of a relaxed CaPr3Ir crystal.

Output
The total magnetization comes out at 0.00 μB per formula unit. As for the density of states at the Fermi level: 6.42 states/eV per cell.

Geometry as CIF:
```
data_CaPr3Ir
_cell_length_a 5.704
_cell_length_b 5.704
_cell_length_c 5.704
_cell_angle_alpha 90.00
_cell_angle_beta 90.00
_cell_angle_gamma 90.00
_space_group_name_H-M_alt 'P m -3 m'
_space_group_IT_number 221
_space_group_name_Hall '-P 4 2 3'
loop_
_atom_site_label
_atom_site_type_symbol
_atom_site_fract_x
_atom_site_fract_y
_atom_site_fract_z
_atom_site_occupancy
Ca1 Ca 0.000 0.000 0.000 1
Pr1 Pr 0.000 0.500 0.500 1
Ir1 Ir 0.500 0.500 0.500 1
```

=====

Which structure loses on stability? version 2 does.

=====

Version 1
The following is a DFT calculation (PBE) of a relaxed CaIrPt2 crystal.

Output
The total magnetization comes out at 0.00 μB per formula unit. As for the density of states at the Fermi level: 3.76 states/eV per cell.

Geometry as CIF:
```
data_CaIrPt2
_cell_length_a 3.424
_cell_length_b 3.424
_cell_length_c 6.243
_cell_angle_alpha 90.00
_cell_angle_beta 90.00
_cell_angle_gamma 90.00
_space_group_name_H-M_alt 'P 4 m m'
_space_group_IT_number 99
loop_
_space_group_symop_operation_xyz
'x,y,z'
'-y,x,z'
'-x,-y,z'
'y,-x,z'
'-x,y,z'
'y,x,z'
'x,-y,z'
'-y,-x,z'
loop_
_atom_site_label
_atom_site_type_symbol
_atom_site_fract_x
_atom_site_fract_y
_atom_site_fract_z
_atom_site_occupancy
Ca1 Ca 0.000 0.000 0.000 1
Ir1 Ir 0.500 0.500 0.305 1
Pt1 Pt 0.000 0.000 0.480 1
Pt2 Pt 0.500 0.500 0.730 1
```

=====

Version 2
The following is a DFT calculation (PBE) of a relaxed CaIrPt2 crystal.

Output
The total magnetization comes out at 0.00 μB per formula unit. As for the density of states at the Fermi level: 7.83 states/eV per cell.

Geometry as CIF:
```
data_CaIrPt2
_cell_length_a 9.554
_cell_length_b 2.879
_cell_length_c 5.108
_cell_angle_alpha 90.00
_cell_angle_beta 100.33
_cell_angle_gamma 90.00
_space_group_name_H-M_alt 'C 1 2/m 1'
_space_group_IT_number 12
loop_
_space_group_symop_operation_xyz
'x,y,z'
'-x,-y,-z'
'-x,y,-z'
'x,-y,z'
'x+1/2,y+1/2,z'
'-x+1/2,-y+1/2,-z'
'-x+1/2,y+1/2,-z'
'x+1/2,-y+1/2,z'
loop_
_atom_site_label
_atom_site_type_symbol
_atom_site_fract_x
_atom_site_fract_y
_atom_site_fract_z
_atom_site_occupancy
Ca1 Ca 0.000 0.000 0.000 1
Ir1 Ir 0.000 0.500 0.500 1
Pt1 Pt 0.239 0.000 0.725 1
```

=====

Which structure loses on stability? version 1 does.

=====

Version 1
The following is a DFT calculation (PBE) of a relaxed CaIrPt2 crystal.

Output
The total magnetization comes out at 0.99 μB per formula unit. As for the density of states at the Fermi level: 14.75 states/eV per cell.

Geometry as CIF:
```
data_CaIrPt2
_cell_length_a 2.9113
_cell_length_b 2.9113
_cell_length_c 27.9436
_cell_angle_alpha 90.00
_cell_angle_beta 90.00
_cell_angle_gamma 120.00
_space_group_name_H-M_alt 'R -3 m'
_space_group_IT_number 166
_space_group_name_Hall '-R 3 2"'
loop_
_atom_site_label
_atom_site_type_symbol
_atom_site_fract_x
_atom_site_fract_y
_atom_site_fract_z
_atom_site_occupancy
Ca1 Ca 0.0000 0.0000 0.0000 1
Ir1 Ir 0.0000 0.0000 0.5000 1
Pt1 Pt 0.0000 0.0000 0.2467 1
```

=====

Version 2
The following is a DFT calculation (PBE) of a relaxed CaIrPt2 crystal.

Output
The total magnetization comes out at 0.01 μB per formula unit. As for the density of states at the Fermi level: 20.72 states/eV per cell.

Geometry as CIF:
```
data_CaIrPt2
_cell_length_a 2.9147
_cell_length_b 2.9147
_cell_length_c 27.9265
_cell_angle_alpha 90.00
_cell_angle_beta 90.00
_cell_angle_gamma 120.00
_space_group_name_H-M_alt 'R 3 m'
_space_group_IT_number 160
_space_group_name_Hall 'R 3 -2"'
loop_
_atom_site_label
_atom_site_type_symbol
_atom_site_fract_x
_atom_site_fract_y
_atom_site_fract_z
_atom_site_occupancy
Ca1 Ca 0.0000 0.0000 0.0000 1
Ir1 Ir 0.0000 0.0000 0.2467 1
Pt1 Pt 0.0000 0.0000 0.5020 1
Pt2 Pt 0.0000 0.0000 0.7530 1
```

=====

Version 3
The following is a DFT calculation (PBE) of a relaxed CaIrPt2 crystal.

Output
The total magnetization comes out at 0.87 μB per formula unit. As for the density of states at the Fermi level: 23.93 states/eV per cell.

Geometry as CIF:
```
data_CaIrPt2
_cell_length_a 6.538
_cell_length_b 6.538
_cell_length_c 6.538
_cell_angle_alpha 90.00
_cell_angle_beta 90.00
_cell_angle_gamma 90.00
_space_group_name_H-M_alt 'F -4 3 m'
_space_group_IT_number 216
_space_group_name_Hall 'F -4 2 3'
loop_
_atom_site_label
_atom_site_type_symbol
_atom_site_fract_x
_atom_site_fract_y
_atom_site_fract_z
_atom_site_occupancy
Ca1 Ca 0.000 0.000 0.000 1
Ir1 Ir 0.250 0.250 0.250 1
Pt1 Pt 0.000 0.000 0.500 1
Pt2 Pt 0.250 0.250 0.750 1
```

=====

Which structure loses on stability? version 2 does.